The following is a PBE-GGA calculation of a geometry-optimized VCdMo2 structure, from the Alexandria database.

a b c (Å): 3.823 3.823 19.522
angles (deg): 90.00 90.00 90.00
Atoms (fractional coordinates):
V1 0.000 0.000 0.000
V2 0.000 0.500 0.250
V3 0.500 0.000 0.750
V4 0.500 0.500 0.500
Cd1 0.000 0.000 0.500
Cd2 0.000 0.500 0.750
Cd3 0.500 0.000 0.250
Cd4 0.500 0.500 0.000
Mo1 0.221 0.250 0.125
Mo2 0.250 0.721 0.375
Mo3 0.250 0.779 0.875
Mo4 0.279 0.250 0.625
Mo5 0.721 0.750 0.625
Mo6 0.750 0.221 0.875
Mo7 0.750 0.279 0.375
Mo8 0.779 0.750 0.125

Its space group is No. 122. The total energy comes out at -112.79 eV/cell.